[1]
! ScTeOs2Pb, relaxed, DFT GGA-PBE; values from VASP
&SYSTEM
  ibrav = 0, nat = 5, ntyp = 4
/
ATOMIC_SPECIES
Os 190.23 Os.upf
Sc 44.96 Sc.upf
Pb 207.20 Pb.upf
Te 127.60 Te.upf
ATOMIC_POSITIONS angstrom
Os 0.449 -2.360 0.202
Sc -0.353 -2.821 -3.398
Pb 1.295 0.031 -2.515
Os -2.096 -0.491 -1.085
Te 0.000 0.000 0.000
CELL_PARAMETERS angstrom
-4.192 -0.983 -2.170
2.589 0.061 -5.029
0.897 -4.721 0.405
! formation energy without anion corrections = 7.8 eV/f.u.

***

[2]
! Sm6Tl5Ga, relaxed, DFT GGA-PBE; values from VASP
&SYSTEM
  ibrav = 0, nat = 12, ntyp = 3
/
ATOMIC_SPECIES
Sm 150.36 Sm.upf
Ga 69.72 Ga.upf
Tl 204.38 Tl.upf
ATOMIC_POSITIONS angstrom
Sm -4.033 -4.532 1.817
Sm 1.182 -6.060 1.600
Ga 0.000 0.000 0.000
Tl -1.064 -4.183 3.293
Tl 2.074 -2.830 1.471
Tl -6.227 -2.723 3.540
Sm -0.962 -3.135 0.080
Tl -3.147 -1.350 1.839
Tl -4.161 -5.551 5.028
Sm -1.929 -7.403 3.309
Sm -3.296 -2.331 5.012
Sm -1.192 -5.202 6.505
CELL_PARAMETERS angstrom
-3.928 -3.535 -1.263
4.148 -5.660 2.942
-5.445 -0.538 6.642
! excess energy over the best structure of this formula in the dataset = 0 meV/atom
! formation enthalpy at 0 K = -0.401 eV/atom

***

[3]
! MnCu2AgH, relaxed, DFT GGA-PBE; values from VASP
&SYSTEM
  ibrav = 0, nat = 5, ntyp = 4
/
ATOMIC_SPECIES
Cu 63.55 Cu.upf
H 1.01 H.upf
Ag 107.87 Ag.upf
Mn 54.94 Mn.upf
ATOMIC_POSITIONS angstrom
Cu 0.000 2.014 0.000
H 0.000 0.000 0.000
Ag 2.014 2.014 1.810
Cu 2.014 0.000 0.000
Mn 0.000 0.000 1.810
CELL_PARAMETERS angstrom
4.029 0.000 0.000
0.000 4.029 0.000
0.000 0.000 3.621
! VASP energy = -0.3328 Ry/atom

***

[4]
! Zr2OsPt, relaxed, DFT GGA-PBE; values from VASP
&SYSTEM
  ibrav = 0, nat = 4, ntyp = 3
/
ATOMIC_SPECIES
Zr 91.22 Zr.upf
Os 190.23 Os.upf
Pt 195.08 Pt.upf
ATOMIC_POSITIONS angstrom
Zr 3.054 2.822 3.390
Os 1.558 1.432 1.706
Pt 4.673 4.296 5.117
Zr 0.061 0.042 0.021
CELL_PARAMETERS angstrom
-0.751 2.469 2.826
0.846 -0.330 3.718
6.136 3.590 0.278
! formation enthalpy at 0 K = -0.319 eV/atom

***

[5]
! HfTeHI2, relaxed, DFT GGA-PBE; values from VASP
&SYSTEM
  ibrav = 0, nat = 5, ntyp = 4
/
ATOMIC_SPECIES
H 1.01 H.upf
I 126.90 I.upf
Te 127.60 Te.upf
Hf 178.49 Hf.upf
ATOMIC_POSITIONS angstrom
H -3.002 0.123 -3.925
I 0.163 -1.729 -2.329
Te -2.710 -0.436 0.135
I -0.454 2.288 -1.731
Hf 0.000 0.000 0.000
CELL_PARAMETERS angstrom
-0.909 4.577 -3.463
0.325 -3.459 -4.657
-5.420 -0.872 0.269
! excess energy over the best structure of this formula in the dataset = 0 meV/atom

***

[6]
! CdHg2Ru, relaxed, DFT GGA-PBE; values from VASP
&SYSTEM
  ibrav = 0, nat = 4, ntyp = 3
/
ATOMIC_SPECIES
Cd 112.41 Cd.upf
Ru 101.07 Ru.upf
Hg 200.59 Hg.upf
ATOMIC_POSITIONS angstrom
Cd 2.108 0.000 2.120
Ru 2.108 2.120 0.000
Hg 0.000 0.000 0.000
Hg 0.000 2.120 2.120
CELL_PARAMETERS angstrom
4.217 0.000 0.000
0.000 4.241 0.000
0.000 0.000 4.241
! formation enthalpy at 0 K = 0.320 eV/atom

***

[7]
! Cs2ReBiI, relaxed, DFT GGA-PBE; values from VASP
&SYSTEM
  ibrav = 0, nat = 5, ntyp = 4
/
ATOMIC_SPECIES
Cs 132.91 Cs.upf
Re 186.21 Re.upf
Bi 208.98 Bi.upf
I 126.90 I.upf
ATOMIC_POSITIONS angstrom
Cs -2.957 1.784 1.548
Re -5.441 -2.441 1.672
Bi 0.000 0.000 0.000
I -1.880 -1.255 -2.144
Cs -0.604 -2.970 2.268
CELL_PARAMETERS angstrom
-5.915 3.568 3.096
-3.759 -2.510 -4.289
-1.208 -5.939 4.535
! formation energy without anion corrections = 5.6 eV/f.u.

***

[8]
! Cr2ReRh, relaxed, DFT GGA-PBE; values from VASP
&SYSTEM
  ibrav = 0, nat = 4, ntyp = 3
/
ATOMIC_SPECIES
Cr 52.00 Cr.upf
Re 186.21 Re.upf
Rh 102.91 Rh.upf
ATOMIC_POSITIONS angstrom
Cr -0.817 -1.309 1.933
Re -2.849 0.221 1.336
Rh -4.092 -1.056 3.468
Cr -0.195 0.015 0.091
CELL_PARAMETERS angstrom
-0.184 -2.812 0.073
1.196 -0.012 2.553
-5.977 0.463 2.801
! formation enthalpy at 0 K = 0.063 eV/atom